[1]
{"formula": "Ta2BPd", "functional": "GGA-PBE", "state": "optimized geometry", "lattice_angstrom": [[-1.3175, -5.7399, -3.2409], [2.5162, -3.4927, 5.1629], [-1.8613, -4.6976, 2.1052]], "species": ["Ta", "Ta", "Ta", "Ta", "B", "B", "Pd", "Pd"], "frac_coords": [[0.8750, 0.8251, 0.7500], [0.1749, 0.6250, 0.2500], [0.5751, 0.1250, 0.2500], [0.3750, 0.4249, 0.7500], [0.2500, 0.7500, 0.5000], [0.5000, 0.5000, 0.0000], [0.7500, 0.2500, 0.5000], [0.0000, 0.0000, 0.0000]], "e_form_mev_per_atom": 170.3, "space_group": "I-42d, No. 122"}

=====

[2]
{"formula": "TaB2Pd", "functional": "GGA-PBE", "state": "optimized geometry", "lattice_angstrom": [[2.8734, -2.4675, -1.3211], [1.2948, -2.9991, 2.3280], [-0.8920, -3.7965, -0.9389]], "species": ["Ta", "B", "B", "Pd"], "frac_coords": [[0.5000, 0.5000, 0.5000], [0.2500, 0.2500, 0.2500], [0.7500, 0.7500, 0.7500], [0.0000, 0.0000, 0.0000]], "e_form_mev_per_atom": 393.4, "space_group": "Fm-3m, No. 225"}

=====

[3]
{"formula": "TaBPd", "functional": "GGA-PBE", "state": "optimized geometry", "lattice_angstrom": [[3.3114, 0.0000, 0.0000], [-1.6557, 4.3747, -0.6946], [0.0000, -2.9760, 5.7522]], "species": ["Pd", "Pd", "Ta", "Ta", "B", "B"], "frac_coords": [[0.6873, 0.3745, 0.6050], [0.3127, 0.6255, 0.3950], [0.9274, 0.8548, 0.1668], [0.0726, 0.1452, 0.8332], [0.3812, 0.7625, 0.8750], [0.6188, 0.2375, 0.1250]], "e_form_mev_per_atom": -504.0, "space_group": "C2/m, No. 12"}

=====

[4]
{"formula": "YTa2BPd", "functional": "GGA-PBE", "state": "optimized geometry", "lattice_angstrom": [[-3.7225, 3.2306, -1.1208], [-3.2371, -3.4683, 0.7545], [-0.3017, 1.3399, 4.8645]], "species": ["B", "Ta", "Ta", "Y", "Pd"], "frac_coords": [[0.5000, 0.5000, 0.5000], [0.5000, 0.0000, 0.0000], [0.0000, 0.0000, 0.5000], [0.0000, 0.0000, 0.0000], [0.0000, 0.5000, 0.0000]], "e_form_mev_per_atom": 2884.5, "space_group": "P4/mmm, No. 123"}

=====

[5]
{"formula": "YTaBPd2", "functional": "GGA-PBE", "state": "optimized geometry", "lattice_angstrom": [[4.1866, 0.0000, 0.0000], [0.0000, 4.8393, 0.0000], [0.0000, 0.0000, 4.1866]], "species": ["B", "Y", "Ta", "Pd", "Pd"], "frac_coords": [[0.0000, 0.0000, 0.0000], [0.0000, 0.5000, 0.0000], [0.5000, 0.5000, 0.5000], [0.5000, 0.0000, 0.0000], [0.0000, 0.0000, 0.5000]], "e_form_mev_per_atom": 193.7, "space_group": "P4/mmm, No. 123"}

=====

[6]
{"formula": "YTaBPd2", "functional": "GGA-PBE", "state": "optimized geometry", "lattice_angstrom": [[-4.3058, 1.1612, 2.0199], [1.7764, -0.2640, 3.9384], [1.1797, 4.7466, -0.2139]], "species": ["B", "Y", "Ta", "Pd", "Pd"], "frac_coords": [[0.0000, 0.5000, 0.0000], [0.5000, 0.5000, 0.5000], [0.0000, 0.0000, 0.0000], [0.0000, 0.0000, 0.5000], [0.5000, 0.0000, 0.0000]], "e_form_mev_per_atom": 410.5, "space_group": "P4/mmm, No. 123"}

=====

[7]
{"formula": "TbBPd6", "functional": "GGA-PBE", "state": "optimized geometry", "lattice_angstrom": [[5.6132, 0.0000, 0.0000], [2.8066, 4.8612, 0.0000], [2.8066, 1.6204, 5.0370]], "species": ["Tb", "B", "Pd", "Pd", "Pd", "Pd", "Pd", "Pd"], "frac_coords": [[0.5000, 0.5000, 0.5000], [0.0000, 0.0000, 0.0000], [0.0938, 0.5750, 0.2374], [0.9062, 0.9062, 0.7626], [0.4250, 0.9062, 0.7626], [0.0938, 0.0938, 0.2374], [0.5750, 0.0938, 0.2374], [0.9062, 0.4250, 0.7626]], "e_form_mev_per_atom": -418.7, "space_group": "R-3m, No. 166"}

=====

[8]
{"formula": "TbBPd", "functional": "GGA-PBE", "state": "optimized geometry", "lattice_angstrom": [[-0.1944, 2.0966, -2.6093], [-4.0390, -0.0469, 0.2632], [2.3361, 4.6158, 5.6891]], "species": ["Tb", "Tb", "B", "B", "Pd", "Pd"], "frac_coords": [[0.8616, 0.6115, 0.7232], [0.1384, 0.3885, 0.2768], [0.7267, 0.9772, 0.4535], [0.2733, 0.0228, 0.5465], [0.5616, 0.8116, 0.1232], [0.4384, 0.1884, 0.8768]], "e_form_mev_per_atom": -588.2, "space_group": "C2/m, No. 12"}

=====

Number 1: magnetization 0.000 μB per cell. Number 2: magnetization 0.000 μB per cell. Number 3: magnetization 0.000 μB per cell. Number 4: magnetization 0.000 μB per cell. Number 5: magnetization 0.000 μB per cell. Number 6: magnetization 0.000 μB per cell. Number 7: magnetization 0.000 μB per cell. Number 8: magnetization 0.000 μB per cell.